Version a
The following is a DFT calculation (PBE) of BaHo after structural relaxation.

Geometry as POSCAR:
```
BaHo
1.0
1.880 2.316 4.044
-1.773 4.498 1.371
-2.781 0.442 4.162
Ba Ho
1 1
Direct
0.000 0.000 0.000
0.500 0.500 0.500
```

Computed properties:
The space group is Fm-3m (225).

Version b
The following is a DFT calculation (PBE) of BaHo after structural relaxation.

Geometry as POSCAR:
```
BaHo
1.0
0.000 3.920 3.920
3.920 0.000 3.920
3.920 3.920 0.000
Ba Ho
1 1
Direct
0.000 0.000 0.000
0.250 0.250 0.250
```

Computed properties:
The space group is F-43m (216).

Short version: version a is the most stable of them.

Version a
The following is a DFT calculation (PBE) of KBaHoTe3 after structural relaxation.

Geometry as POSCAR:
```
KBaHoTe3
1.0
-7.072 -5.598 4.783
-8.176 -6.104 0.351
8.969 -7.113 -1.422
Ba Ho K Te
2 2 2 6
Direct
0.494 0.494 0.281
0.506 0.506 0.719
0.826 0.826 0.421
0.174 0.174 0.579
0.143 0.143 0.073
0.857 0.857 0.927
0.500 0.500 0.000
0.320 0.320 0.238
0.670 0.670 0.389
0.000 0.000 0.500
0.330 0.330 0.611
0.680 0.680 0.762
```

Computed properties:
The space group is C2/m (12).

Version b
The following is a DFT calculation (PBE) of KBaHoTe3 after structural relaxation.

Geometry as POSCAR:
```
KBaHoTe3
1.0
-5.986 1.554 -5.296
1.898 -3.386 7.158
-2.150 10.358 5.471
Ba Ho K Te
2 2 2 6
Direct
0.249 0.751 0.250
0.751 0.249 0.750
0.500 0.500 0.000
0.500 0.500 0.500
0.971 0.029 0.250
0.029 0.971 0.750
0.864 0.136 0.027
0.592 0.408 0.250
0.864 0.136 0.473
0.136 0.864 0.527
0.408 0.592 0.750
0.136 0.864 0.973
```

Computed properties:
The space group is Cmcm (63).

Short version: version a is the most stable of them.

Version a
The following is a DFT calculation (PBE) of BaLiHoSe3 after structural relaxation.

Geometry as POSCAR:
```
BaLiHoSe3
1.0
-9.056 3.771 4.262
-1.588 -3.945 0.116
5.332 -1.769 12.895
Ba Ho Li Se
4 4 4 12
Direct
0.248 0.750 0.004
0.748 0.750 0.496
0.252 0.250 0.504
0.752 0.250 0.996
0.503 0.250 0.250
0.003 0.250 0.250
0.997 0.750 0.750
0.497 0.750 0.750
0.753 0.750 0.221
0.253 0.750 0.279
0.747 0.250 0.721
0.247 0.250 0.779
0.561 0.750 0.117
0.945 0.750 0.118
0.253 0.250 0.181
0.753 0.250 0.319
0.445 0.750 0.382
0.061 0.750 0.383
0.939 0.250 0.617
0.555 0.250 0.618
0.247 0.750 0.681
0.747 0.750 0.819
0.055 0.250 0.882
0.439 0.250 0.883
```

Computed properties:
The space group is Pnma (62).

Version b
The following is a DFT calculation (PBE) of BaLiHoSe3 after structural relaxation.

Geometry as POSCAR:
```
BaLiHoSe3
1.0
8.955 -2.116 0.000
8.955 2.116 0.000
-2.144 0.000 8.649
Ba Ho Li Se
2 2 2 6
Direct
0.863 0.863 0.433
0.137 0.137 0.567
0.165 0.165 0.082
0.835 0.835 0.918
0.507 0.507 0.199
0.493 0.493 0.801
0.000 0.000 0.000
0.331 0.331 0.136
0.671 0.671 0.299
0.500 0.500 0.500
0.329 0.329 0.701
0.669 0.669 0.864
```

Computed properties:
The space group is C2/m (12).

Short version: version a is the most stable of them.